An optimized crystal structure of Sr2In3Rh2. Source: Alexandria, functional GGA-PBEsol.

Cell lengths 4.2472, 5.8339, 7.7171 Å; angles 69.29, 74.03, 68.65 degrees
Closest atoms and distances in Å follow each position.
Element x y z (fractional)
Rh: 0.8724 0.0489 0.2064  5 In 2.67-2.83
Rh: 0.1276 0.9511 0.7936  5 In 2.67-2.83
In: 0.5000 0.0000 0.0000  4 Rh 2.67
In: 0.6404 0.1637 0.5555  3 Rh 2.79-2.83, 2 In 3.03
In: 0.3596 0.8363 0.4445  3 Rh 2.79-2.83, 2 In 3.03
Sr: 0.8553 0.5130 0.7765  3 Rh 3.02-3.22, 2 In 3.35
Sr: 0.1447 0.4870 0.2235  3 Rh 3.02-3.22, 2 In 3.35

- space group = C2/m (12)
- energy relative to the elements (meV per atom) = -486